Below is an optimized crystal structure of Li3Er3GaSe8, with properties calculated at the GGA-PBE level. Values from VASP.

Energy ... -4.710 eV per atom
Space-group type ... No. 166

Cell and atoms, written as Quantum ESPRESSO input:
```
&SYSTEM
  ibrav = 0, nat = 15, ntyp = 4
/
ATOMIC_SPECIES
Li 6.94 Li.upf
Er 167.26 Er.upf
Ga 69.72 Ga.upf
Se 78.96 Se.upf
CELL_PARAMETERS angstrom
3.995 2.307 6.406
-3.995 2.307 6.406
0.000 -4.613 6.406
ATOMIC_POSITIONS angstrom
Li -1.998 -1.153 6.406
Li -1.998 1.153 12.812
Li 0.000 2.307 6.406
Er -3.995 0.000 9.609
Er -1.998 1.153 3.203
Er 1.998 1.153 3.203
Ga 0.000 0.000 9.609
Se 0.000 0.000 4.832
Se 0.000 -2.175 8.049
Se -1.884 1.088 8.049
Se -1.884 -1.088 11.169
Se 1.884 1.088 8.049
Se 1.884 -1.088 11.169
Se 0.000 2.175 11.169
Se 0.000 0.000 14.387
```